No. 1
VASP calculation (PBE-GGA) on a relaxed Nd2Al2CdPd5 crystal.

Output
Space-group type   P4/mbm, No. 127

a b c (Å): 10.4711 10.4711 3.5121
angles (deg): 90.00 90.00 90.00
Fractional positions:
Nd1 0.1774 0.3226 0.0000
Nd2 0.3226 0.8226 0.0000
Nd3 0.6774 0.1774 0.0000
Nd4 0.8226 0.6774 0.0000
Al1 0.1216 0.6216 0.0000
Al2 0.3784 0.1216 0.0000
Al3 0.6216 0.8784 0.0000
Al4 0.8784 0.3784 0.0000
Cd1 0.0000 0.0000 0.0000
Cd2 0.5000 0.5000 0.0000
Pd1 0.0000 0.5000 0.5000
Pd2 0.0606 0.7868 0.5000
Pd3 0.2132 0.0606 0.5000
Pd4 0.2868 0.5606 0.5000
Pd5 0.4394 0.2868 0.5000
Pd6 0.5000 0.0000 0.5000
Pd7 0.5606 0.7132 0.5000
Pd8 0.7132 0.4394 0.5000
Pd9 0.7868 0.9394 0.5000
Pd10 0.9394 0.2132 0.5000


No. 2
VASP calculation (PBE-GGA) on a relaxed PrNdAlCd crystal.

Output
Space-group type   F-43m, No. 216

a b c (Å): 7.6289 7.6289 7.6289
angles (deg): 90.00 90.00 90.00
Fractional positions:
Pr1 0.0000 0.0000 0.0000
Pr2 0.0000 0.5000 0.5000
Pr3 0.5000 0.0000 0.5000
Pr4 0.5000 0.5000 0.0000
Nd1 0.0000 0.0000 0.5000
Nd2 0.0000 0.5000 0.0000
Nd3 0.5000 0.0000 0.0000
Nd4 0.5000 0.5000 0.5000
Al1 0.2500 0.2500 0.7500
Al2 0.2500 0.7500 0.2500
Al3 0.7500 0.2500 0.2500
Al4 0.7500 0.7500 0.7500
Cd1 0.2500 0.2500 0.2500
Cd2 0.2500 0.7500 0.7500
Cd3 0.7500 0.2500 0.7500
Cd4 0.7500 0.7500 0.2500


No. 3
VASP calculation (PBE-GGA) on a relaxed PrNdAlCd crystal.

Output
Space-group type   P4mm, No. 99

a b c (Å): 3.6481 3.6481 8.2532
angles (deg): 90.00 90.00 90.00
Fractional positions:
Pr1 0.0000 0.0000 0.0000
Nd1 0.0000 0.0000 0.4731
Al1 0.5000 0.5000 0.2388
Cd1 0.5000 0.5000 0.7332


No. 4
VASP calculation (PBE-GGA) on a relaxed Nd2Al3CdPt4 crystal.

Output
Space-group type   P-4m2, No. 115

a b c (Å): 4.3272 4.3272 10.6947
angles (deg): 90.00 90.00 90.00
Fractional positions:
Nd1 0.0000 0.5000 0.2427
Nd2 0.5000 0.0000 0.7573
Al1 0.0000 0.5000 0.8808
Al2 0.5000 0.0000 0.1192
Al3 0.5000 0.5000 0.5000
Cd1 0.0000 0.0000 0.5000
Pt1 0.0000 0.0000 0.0000
Pt2 0.0000 0.5000 0.6514
Pt3 0.5000 0.0000 0.3486
Pt4 0.5000 0.5000 0.0000


No. 5
VASP calculation (PBE-GGA) on a relaxed Nd2Al2CdPt5 crystal.

Output
Space-group type   P4/mbm, No. 127

a b c (Å): 10.0687 10.0687 3.7658
angles (deg): 90.00 90.00 90.00
Fractional positions:
Nd1 0.1803 0.3197 0.0000
Nd2 0.3197 0.8197 0.0000
Nd3 0.6803 0.1803 0.0000
Nd4 0.8197 0.6803 0.0000
Al1 0.1178 0.6178 0.0000
Al2 0.3822 0.1178 0.0000
Al3 0.6178 0.8822 0.0000
Al4 0.8822 0.3822 0.0000
Cd1 0.0000 0.0000 0.0000
Cd2 0.5000 0.5000 0.0000
Pt1 0.0000 0.5000 0.5000
Pt2 0.0638 0.7833 0.5000
Pt3 0.2167 0.0638 0.5000
Pt4 0.2833 0.5638 0.5000
Pt5 0.4362 0.2833 0.5000
Pt6 0.5000 0.0000 0.5000
Pt7 0.5638 0.7167 0.5000
Pt8 0.7167 0.4362 0.5000
Pt9 0.7833 0.9362 0.5000
Pt10 0.9362 0.2167 0.5000


No. 6
VASP calculation (PBE-GGA) on a relaxed Nd2Al4CdPt3 crystal.

Output
Space-group type   P-4m2, No. 115

a b c (Å): 4.3198 4.3198 10.7035
angles (deg): 90.00 90.00 90.00
Fractional positions:
Nd1 0.0000 0.5000 0.2399
Nd2 0.5000 0.0000 0.7601
Al1 0.0000 0.0000 0.0000
Al2 0.0000 0.5000 0.6419
Al3 0.5000 0.0000 0.3581
Al4 0.5000 0.5000 0.0000
Cd1 0.0000 0.0000 0.5000
Pt1 0.0000 0.5000 0.8726
Pt2 0.5000 0.0000 0.1274
Pt3 0.5000 0.5000 0.5000


No. 7
VASP calculation (PBE-GGA) on a relaxed NdPuAlCd crystal.

Output
Space-group type   F-43m, No. 216

a b c (Å): 7.5166 7.5166 7.5166
angles (deg): 90.00 90.00 90.00
Fractional positions:
Nd1 0.0000 0.0000 0.0000
Nd2 0.0000 0.5000 0.5000
Nd3 0.5000 0.0000 0.5000
Nd4 0.5000 0.5000 0.0000
Pu1 0.0000 0.0000 0.5000
Pu2 0.0000 0.5000 0.0000
Pu3 0.5000 0.0000 0.0000
Pu4 0.5000 0.5000 0.5000
Al1 0.2500 0.2500 0.2500
Al2 0.2500 0.7500 0.7500
Al3 0.7500 0.2500 0.7500
Al4 0.7500 0.7500 0.2500
Cd1 0.2500 0.2500 0.7500
Cd2 0.2500 0.7500 0.2500
Cd3 0.7500 0.2500 0.2500
Cd4 0.7500 0.7500 0.7500


No. 8
VASP calculation (PBE-GGA) on a relaxed NdScAlCd crystal.

Output
Space-group type   F-43m, No. 216

a b c (Å): 7.2846 7.2846 7.2846
angles (deg): 90.00 90.00 90.00
Fractional positions:
Nd1 0.0000 0.0000 0.0000
Nd2 0.0000 0.5000 0.5000
Nd3 0.5000 0.0000 0.5000
Nd4 0.5000 0.5000 0.0000
Sc1 0.0000 0.0000 0.5000
Sc2 0.0000 0.5000 0.0000
Sc3 0.5000 0.0000 0.0000
Sc4 0.5000 0.5000 0.5000
Al1 0.2500 0.2500 0.7500
Al2 0.2500 0.7500 0.2500
Al3 0.7500 0.2500 0.2500
Al4 0.7500 0.7500 0.7500
Cd1 0.2500 0.2500 0.2500
Cd2 0.2500 0.7500 0.7500
Cd3 0.7500 0.2500 0.7500
Cd4 0.7500 0.7500 0.2500


No. 9
VASP calculation (PBE-GGA) on a relaxed SrNdAlCd crystal.

Output
Space-group type   F-43m, No. 216

a b c (Å): 7.7931 7.7931 7.7931
angles (deg): 90.00 90.00 90.00
Fractional positions:
Sr1 0.0000 0.0000 0.0000
Sr2 0.0000 0.5000 0.5000
Sr3 0.5000 0.0000 0.5000
Sr4 0.5000 0.5000 0.0000
Nd1 0.0000 0.0000 0.5000
Nd2 0.0000 0.5000 0.0000
Nd3 0.5000 0.0000 0.0000
Nd4 0.5000 0.5000 0.5000
Al1 0.2500 0.2500 0.7500
Al2 0.2500 0.7500 0.2500
Al3 0.7500 0.2500 0.2500
Al4 0.7500 0.7500 0.7500
Cd1 0.2500 0.2500 0.2500
Cd2 0.2500 0.7500 0.7500
Cd3 0.7500 0.2500 0.7500
Cd4 0.7500 0.7500 0.2500


No. 10
VASP calculation (PBE-GGA) on a relaxed TbNdAlCd crystal.

Output
Space-group type   P4mm, No. 99

a b c (Å): 3.5909 3.5909 8.0813
angles (deg): 90.00 90.00 90.00
Fractional positions:
Tb1 0.0000 0.0000 0.0000
Nd1 0.0000 0.0000 0.5274
Al1 0.5000 0.5000 0.7715
Cd1 0.5000 0.5000 0.2515


No. 11
VASP calculation (PBE-GGA) on a relaxed TbNdAlCd crystal.

Output
Space-group type   F-43m, No. 216

a b c (Å): 7.4979 7.4979 7.4979
angles (deg): 90.00 90.00 90.00
Fractional positions:
Tb1 0.0000 0.0000 0.0000
Tb2 0.0000 0.5000 0.5000
Tb3 0.5000 0.0000 0.5000
Tb4 0.5000 0.5000 0.0000
Nd1 0.0000 0.0000 0.5000
Nd2 0.0000 0.5000 0.0000
Nd3 0.5000 0.0000 0.0000
Nd4 0.5000 0.5000 0.5000
Al1 0.2500 0.2500 0.7500
Al2 0.2500 0.7500 0.2500
Al3 0.7500 0.2500 0.2500
Al4 0.7500 0.7500 0.7500
Cd1 0.2500 0.2500 0.2500
Cd2 0.2500 0.7500 0.7500
Cd3 0.7500 0.2500 0.7500
Cd4 0.7500 0.7500 0.2500


No. 12
VASP calculation (PBE-GGA) on a relaxed Nd4AlTlCd2 crystal.

Output
Space-group type   R-3m, No. 166

a b c (Å): 9.4293 9.4293 9.4293
angles (deg): 33.49 33.49 33.49
Fractional positions:
Nd1 0.1217 0.1217 0.1217
Nd2 0.3717 0.3717 0.3717
Nd3 0.6283 0.6283 0.6283
Nd4 0.8783 0.8783 0.8783
Al1 0.0000 0.0000 0.0000
Tl1 0.5000 0.5000 0.5000
Cd1 0.2498 0.2498 0.2498
Cd2 0.7502 0.7502 0.7502


no.,formation enthalpy at 0 K (meV/atom)
1,-687
2,-325
3,-340
4,-972
5,-853
6,-923
7,-129
8,-320
9,-240
10,-355
11,-340
12,-348